First-principles (PBE-GGA) data for YPtPb3 after structural relaxation, as listed in the Alexandria database.

Output
- Energy of formation from the pure elements: 0.63 eV/f.u.
- Total magnetic moment: 0.00 μB per cell
- DOS(E_F): 4.71 states/eV/cell
- Uncorrected energy: -23.0 eV per cell

Geometry as POSCAR:
```
YPtPb3
1.0
5.415 0.000 0.000
0.000 5.415 0.000
0.000 0.000 5.415
Y Pt Pb
1 1 3
Direct
0.000 0.000 0.000
0.500 0.500 0.500
0.000 0.500 0.500
0.500 0.000 0.500
0.500 0.500 0.000
```